# 1
A PBEsol-optimized structure of Na2InBi. Source: Alexandria, functional meta-GGA SCAN.

Properties
- Formation energy from the elements: -0.088 eV/atom
- M_tot: 0.000 μB/cell

a b c (Å): 4.5917 4.5917 11.5247
angles (deg): 101.49 101.49 90.00
Closest atoms and distances in Å follow each position.
Atoms (fractional coordinates):
Bi  0.2500  0.7500  0.5000  4 Na 3.20, 4 In 3.25
Bi  0.0000  0.0000  0.0000  4 Na 3.20, 4 In 3.25
Na  0.3742  0.8750  0.2500  2 Bi 3.20, 2 In 3.21, 4 Na 3.24-3.25
Na  0.1250  0.1242  0.7500  2 Bi 3.20, 2 In 3.21, 4 Na 3.24-3.25
Na  0.8758  0.3750  0.2500  2 Bi 3.20, 2 In 3.21, 4 Na 3.24-3.25
Na  0.6250  0.6258  0.7500  2 Bi 3.20, 2 In 3.21, 4 Na 3.24-3.25
In  0.7500  0.2500  0.5000  4 Na 3.21, 4 Bi 3.25
In  0.5000  0.5000  0.0000  4 Na 3.21, 4 Bi 3.25

# 2
A PBEsol-optimized structure of NbInBi3. Source: Alexandria, functional meta-GGA SCAN.

Properties
- Formation energy from the elements: 1.286 eV/atom
- M_tot: 3.755 μB/cell

a b c (Å): 5.5517 5.5517 5.5517
angles (deg): 90.00 90.00 90.00
Closest atoms and distances in Å follow each position.
Atoms (fractional coordinates):
Bi  0.0000  0.0000  0.5000  2 In 2.78
Bi  0.0000  0.5000  0.0000  2 In 2.78
Bi  0.5000  0.0000  0.0000  2 In 2.78
In  0.0000  0.0000  0.0000  6 Bi 2.78
Nb  0.5000  0.5000  0.5000  12 Bi 3.93

# 3
A PBEsol-optimized structure of NbInBi2O7. Source: Alexandria, functional meta-GGA SCAN.

Properties
- Formation energy (no corrections): -1790 meV/atom
- M_tot: 0.000 μB/cell

a b c (Å): 7.4472 7.5327 7.5327
angles (deg): 60.61 60.37 60.37
Closest atoms and distances in Å follow each position.
Atoms (fractional coordinates):
O  0.1753  0.1004  0.1513  1 Nb 2.01, 1 In 2.19
O  0.5523  0.6977  0.1977  2 Nb 1.98
O  0.1753  0.6513  0.6004  1 Nb 2.01, 1 In 2.19
O  0.8501  0.8999  0.3999  2 In 2.15
O  0.1499  0.1001  0.6001  2 In 2.15
O  0.4477  0.3023  0.8023  2 Nb 1.98
O  0.4270  0.3487  0.3996  1 Nb 2.01, 1 In 2.19
O  0.1284  0.6216  0.1216  4 Bi 2.27-2.34
O  0.5730  0.1004  0.1513  1 Nb 2.01, 1 In 2.19
O  0.5730  0.6513  0.6004  1 Nb 2.01, 1 In 2.19
O  0.8716  0.3784  0.8784  4 Bi 2.27-2.34
O  0.8247  0.8996  0.8487  1 Nb 2.01, 1 In 2.19
O  0.8247  0.3487  0.3996  1 Nb 2.01, 1 In 2.19
O  0.4270  0.8996  0.8487  1 Nb 2.01, 1 In 2.19
Bi  0.0000  0.5000  0.0000  6 O 2.27-2.51
Bi  0.0000  0.5000  0.5000  8 O 2.34-2.62
Bi  0.5000  0.5000  0.0000  6 O 2.27-2.51
Bi  0.0000  0.0000  0.0000  8 O 2.34-2.62
Nb  0.5000  0.0000  0.0000  6 O 1.98-2.01
Nb  0.5000  0.5000  0.5000  6 O 1.98-2.01
In  0.5000  0.0000  0.5000  6 O 2.15-2.19
In  0.0000  0.0000  0.5000  6 O 2.15-2.19

# 4
A PBEsol-optimized structure of InBiO3. Source: Alexandria, functional meta-GGA SCAN.

Properties
- Formation energy (no corrections): -1448 meV/atom
- M_tot: 0.000 μB/cell

a b c (Å): 5.6350 5.9696 8.2866
angles (deg): 90.00 90.00 90.00
Closest atoms and distances in Å follow each position.
Atoms (fractional coordinates):
O  0.3419  0.6602  0.0307  2 In 2.16-2.21, 1 Bi 2.27
O  0.8419  0.8398  0.5307  2 In 2.16-2.21, 1 Bi 2.27
O  0.3020  0.7098  0.4353  2 In 2.18-2.21, 1 Bi 2.29
O  0.6159  0.0511  0.2585  2 In 2.14-2.25, 1 Bi 2.28
O  0.1980  0.2098  0.4353  2 In 2.18-2.21, 1 Bi 2.29
O  0.6980  0.2902  0.9353  2 In 2.18-2.21, 1 Bi 2.29
O  0.8020  0.7902  0.9353  2 In 2.18-2.21, 1 Bi 2.29
O  0.3841  0.9489  0.7585  2 In 2.14-2.25, 1 Bi 2.28
O  0.1159  0.4489  0.7585  2 In 2.14-2.25, 1 Bi 2.28
O  0.6581  0.3398  0.5307  2 In 2.16-2.21, 1 Bi 2.27
O  0.1581  0.1602  0.0307  2 In 2.16-2.21, 1 Bi 2.27
O  0.8841  0.5511  0.2585  2 In 2.14-2.25, 1 Bi 2.28
In  0.5006  0.0019  0.5157  6 O 2.14-2.25
In  0.4994  0.9981  0.0157  6 O 2.14-2.25
In  0.9994  0.5019  0.5157  6 O 2.14-2.25
In  0.0006  0.4981  0.0157  6 O 2.14-2.25
Bi  0.4986  0.4409  0.2895  5 O 2.27-2.50
Bi  0.5014  0.5591  0.7895  5 O 2.27-2.50
Bi  0.0014  0.9409  0.2895  5 O 2.27-2.50
Bi  0.9986  0.0591  0.7895  5 O 2.27-2.50